1.
Density functional theory data (GGA-PBE) for a geometry-optimized Ni2Pd6Au3 structure.

The structure in CIF format:
```
data_Ni2Pd6Au3
_symmetry_space_group_name_H-M 'P 1'
_symmetry_Int_Tables_number 1
_symmetry_space_group_name_Hall 'P 1'
_cell_length_a 4.825
_cell_length_b 6.261
_cell_length_c 6.311
_cell_angle_alpha 107.57
_cell_angle_beta 105.20
_cell_angle_gamma 98.28
loop_
_atom_site_label
_atom_site_type_symbol
_atom_site_fract_x
_atom_site_fract_y
_atom_site_fract_z
Ni1 Ni 0.047 0.406 0.190
Ni2 Ni 0.953 0.594 0.810
Pd1 Pd 0.131 0.233 0.539
Pd2 Pd 0.225 0.042 0.911
Pd3 Pd 0.409 0.678 0.637
Pd4 Pd 0.591 0.322 0.363
Pd5 Pd 0.775 0.958 0.089
Pd6 Pd 0.869 0.767 0.461
Au1 Au 0.306 0.852 0.266
Au2 Au 0.500 0.500 0.000
Au3 Au 0.694 0.148 0.734
```

Properties
As for the density of states at the Fermi level: 17.3 states/eV per cell. As for the formation energy: 0.014 eV/atom. As for the volume: 170 Å³ per cell. Its energy is -4.764 eV per atom.

2.
Density functional theory data (GGA-PBE) for a geometry-optimized Ni2PdAu2 structure.

The structure in CIF format:
```
data_Ni2PdAu2
_symmetry_space_group_name_H-M 'P 1'
_symmetry_Int_Tables_number 1
_symmetry_space_group_name_Hall 'P 1'
_cell_length_a 7.119
_cell_length_b 7.119
_cell_length_c 2.993
_cell_angle_alpha 90.00
_cell_angle_beta 90.00
_cell_angle_gamma 90.00
loop_
_atom_site_label
_atom_site_type_symbol
_atom_site_fract_x
_atom_site_fract_y
_atom_site_fract_z
Ni1 Ni 0.121 0.379 0.000
Ni2 Ni 0.379 0.879 0.000
Ni3 Ni 0.621 0.121 0.000
Ni4 Ni 0.879 0.621 0.000
Pd1 Pd 0.000 0.000 0.000
Pd2 Pd 0.500 0.500 0.000
Au1 Au 0.175 0.675 0.500
Au2 Au 0.325 0.175 0.500
Au3 Au 0.675 0.825 0.500
Au4 Au 0.825 0.325 0.500
```

Properties
As for the density of states at the Fermi level: 13.8 states/eV per cell. As for the formation energy: 0.178 eV/atom. For the polymorph energy (0 for the lowest one), the calculation gives 0.0 meV/atom. As for the volume: 152 Å³ per cell. Its energy is -4.484 eV per atom.